Here is La12CePr7 after structural relaxation from the Alexandria database. Energies are from PBE.

## Properties
* symmetry: No. 148
* polymorph energy (0 for the lowest one): 263.4 kJ/mol of formula units
* uncorrected energy: -93.68 eV for the cell shown

a b c (Å): 7.0791 11.2657 11.2655
angles (deg): 64.27 77.91 102.09
Each line ends with the local moment (μB).
Atoms (fractional coordinates):
1 La 0.2022 0.9262 0.5491  0.00
2 La 0.4828 0.7834 0.4322  0.00
3 La 0.9150 0.4322 0.7844  0.00
4 La 0.3006 0.2156 0.2166  0.00
5 Pr 0.6329 0.6994 0.1604  0.03
6 Pr 0.9335 0.1402 0.6994  0.03
7 La 0.2761 0.5247 0.9262  0.00
8 La 0.7239 0.4753 0.0738  0.00
9 Ce 0.0000 0.0000 0.0000  0.65
10 Pr 0.0665 0.8598 0.3006  0.03
11 La 0.5172 0.2166 0.5678  0.00
12 Pr 0.5000 0.0000 0.0000  0.05
13 La 0.6994 0.7844 0.7834  0.00
14 La 0.0850 0.5678 0.2156  0.00
15 La 0.7978 0.0738 0.4509  0.00
16 La 0.7514 0.5491 0.5247  0.00
17 Pr 0.3671 0.3006 0.8396  0.03
18 La 0.2486 0.4509 0.4753  0.00
19 Pr 0.7933 0.1604 0.1402  0.03
20 Pr 0.2067 0.8396 0.8598  0.03

***

Here is La7Ce2Pr2 after structural relaxation from the Alexandria database. Energies are from PBE.

## Properties
* symmetry: No. 12
* uncorrected energy: -54.03 eV for the cell shown

a b c (Å): 9.5463 9.3772 9.5463
angles (deg): 45.50 136.66 134.50
Each line ends with the local moment (μB).
Atoms (fractional coordinates):
1 Pr 0.2355 0.0094 0.7645  0.01
2 La 0.0000 0.0000 0.0000  -0.02
3 La 0.5427 0.3525 0.0138  0.00
4 Ce 0.7991 0.5000 0.7991  0.59
5 La 0.4984 0.1781 0.5016  0.01
6 La 0.5016 0.8219 0.4984  0.01
7 La 0.9862 0.3525 0.4573  0.00
8 La 0.4573 0.6475 0.9862  0.00
9 La 0.0138 0.6475 0.5427  0.00
10 Ce 0.2009 0.5000 0.2009  0.59
11 Pr 0.7645 0.9906 0.2355  0.01

***

Here is LaCe2Pr after structural relaxation from the Alexandria database. Energies are from PBE.

## Properties
* symmetry: No. 166
* polymorph energy (0 for the lowest one): 41.3 kJ/mol of formula units
* uncorrected energy: -20.69 eV for the cell shown

a b c (Å): 3.4317 3.4317 12.5263
angles (deg): 82.13 82.13 60.00
Each line ends with the local moment (μB).
Atoms (fractional coordinates):
1 Pr 0.5000 0.5000 0.5000  -0.01
2 La 0.0000 0.0000 0.0000  -0.03
3 Ce 0.0858 0.0858 0.7425  0.51
4 Ce 0.9142 0.9142 0.2575  0.51